RbInRh3 | PBE | optimized geometry

E above lowest polymorph in meV/atom: 969.2
Energy of formation from the pure elements in meV/atom: 1992.8
N(E_F) in states/eV per atom: 1.32
Final energy in eV per atom: -3.159
Size of the total moment in μB/f.u.: 1.91
Calculated density in g/cm³: 7.24

Geometry as POSCAR:
```
RbInRh3
1.0
-0.171 4.870 -0.369
-0.864 0.334 4.798
4.807 0.233 0.850
Rh Rb In
3 1 1
Direct
0.000 0.500 0.000
0.500 0.000 0.000
0.000 0.000 0.500
0.000 0.000 0.000
0.500 0.500 0.500
```